Tb8AlSn6 | PBE | relaxed

a b c (Å): 9.139 9.139 8.216
angles (deg): 56.21 56.21 60.00
Element x y z (fractional)
1 Tb 0.181 0.898 0.291
2 Tb 0.369 0.819 0.709
3 Tb 0.668 0.668 0.997
4 Sn 0.703 0.444 0.782
5 Sn 0.556 0.929 0.218
6 Sn 0.071 0.703 0.782
7 Sn 0.297 0.556 0.218
8 Tb 0.819 0.102 0.709
9 Sn 0.444 0.071 0.782
10 Tb 0.102 0.369 0.709
11 Al 0.000 0.000 0.000
12 Tb 0.332 0.332 0.003
13 Tb 0.631 0.181 0.291
14 Tb 0.898 0.631 0.291
15 Sn 0.929 0.297 0.218

Computed properties:
final energy = -72.8 eV/cell
space group = R-3, No. 148
formation enthalpy at 0 K = -8.04 eV/f.u.